Density functional theory data (GGA-PBE) for crystalline KCaNi at its relaxed geometry.

The density of states at the Fermi level comes out at 1.156 states/eV/atom. The calculation puts the formation energy from the elements at 500 meV/atom. As for the crystal system: cubic.

It has space group F-43m (No. 216), with a = 7.269 Å, b = 7.269 Å, c = 7.269 Å, α = 90.00°, β = 90.00° and γ = 90.00°. The distinct sites, in fractional coordinates, are K at (0.000, 0.000, 0.000), Ca at (0.000, 0.000, 0.500) and Ni at (0.250, 0.250, 0.250).